1.
Compound: BaNaCa2Ag
Source: Alexandria via LeMat-Bulk
Functional: PBE
Structure: relaxed

VASP energy, eV per formula unit: -10.16
DOS(E_F), states/eV/atom: 0.899
E_form, meV/atom: -14
Energy above the most stable polymorph in this dataset, eV/f.u.: 0.17

Unit cell a=5.919 b=5.919 c=5.957 alpha=90.00 beta=90.00 gamma=90.00
Fractional positions:
Ag 0.000 0.000 0.000
Ca 0.000 0.500 0.000
Ba 0.500 0.500 0.500
Ca 0.500 0.000 0.000
Na 0.000 0.000 0.500

---

2.
Compound: Ce2SmHo
Source: Alexandria via LeMat-Bulk
Functional: PBE
Structure: relaxed

VASP energy, eV per formula unit: -20.20
DOS(E_F), states/eV/atom: 2.687
E_form, meV/atom: 240
Energy above the most stable polymorph in this dataset, eV/f.u.: 0.55

Unit cell a=3.369 b=3.369 c=12.495 alpha=82.25 beta=82.25 gamma=60.00
Fractional positions:
Ce 0.085 0.085 0.745
Sm 0.500 0.500 0.500
Ce 0.915 0.915 0.255
Ho 0.000 0.000 0.000

---

3.
Compound: ScGaFe2Rh
Source: Alexandria via LeMat-Bulk
Functional: PBE
Structure: relaxed

VASP energy, eV per formula unit: -28.09
DOS(E_F), states/eV/atom: 0.996
E_form, meV/atom: 1109

Unit cell a=4.439 b=4.659 c=4.439 alpha=90.00 beta=90.00 gamma=90.00
Fractional positions:
Sc 0.000 0.000 0.000
Fe 0.500 0.000 0.000
Ga 0.500 0.500 0.500
Fe 0.000 0.000 0.500
Rh 0.000 0.500 0.000

---

4.
Compound: Ti2TcMoH
Source: Alexandria via LeMat-Bulk
Functional: PBE
Structure: relaxed

VASP energy, eV per formula unit: -41.41
DOS(E_F), states/eV/atom: 0.902

Unit cell a=4.366 b=4.366 c=3.403 alpha=90.00 beta=90.00 gamma=90.00
Fractional positions:
Mo 0.000 0.000 0.500
Tc 0.500 0.500 0.500
Ti 0.500 0.000 0.000
Ti 0.000 0.500 0.000
H 0.000 0.000 0.000

---

5.
Compound: TaBe2
Source: Alexandria via LeMat-Bulk
Functional: PBE
Structure: relaxed

VASP energy, eV per formula unit: -18.48
DOS(E_F), states/eV/atom: 0.495
E_form, meV/atom: 273

Unit cell a=5.096 b=5.096 c=5.096 alpha=131.94 beta=131.94 gamma=70.32
Fractional positions:
Be 0.674 0.826 0.500
Be 0.826 0.326 0.152
Ta 0.750 0.750 0.000
Be 0.326 0.174 0.500
Be 0.174 0.674 0.848
Ta 0.250 0.250 0.000

---

6.
Compound: Ac2TbCu2Se6
Source: Alexandria via LeMat-Bulk
Functional: PBE
Structure: relaxed

VASP energy, eV per formula unit: -53.95
DOS(E_F), states/eV/atom: 0.647

Unit cell a=7.426 b=7.426 c=8.266 alpha=63.31 beta=63.31 gamma=60.00
Fractional positions:
Ac 0.204 0.204 0.387
Se 0.250 0.250 0.717
Tb 0.000 0.000 0.000
Cu 0.434 0.434 0.699
Se 0.784 0.250 0.717
Se 0.216 0.750 0.283
Cu 0.566 0.566 0.301
Ac 0.796 0.796 0.613
Se 0.750 0.750 0.283
Se 0.250 0.784 0.717
Se 0.750 0.216 0.283